DFT (PBE with a Hubbard U) results for a geometry-optimized SrCaVP2O8 structure.

Values from the calculation:
Energy (eV/atom): -7.359
Magnetization (μB per formula unit): 3.0

Unit cell a=5.7536 b=6.9500 c=9.6117 alpha=109.53 beta=101.24 gamma=98.54
Space group P-1 (No. 2)
Symmetry-distinct sites (fractional):
Sr  0.2334  0.1948  0.4411 [2 per cell]
Ca  0.4868  0.5739  0.8339 [2 per cell]
V  0.1522  0.8484  0.0622 [2 per cell]
P  0.1207  0.5865  0.2807 [2 per cell]
P  0.3372  0.0329  0.8000 [2 per cell]
O  0.0925  0.4216  0.1171 [2 per cell]
O  0.1081  0.4533  0.6623 [2 per cell]
O  0.1319  0.9695  0.8735 [2 per cell]
O  0.1702  0.8080  0.2743 [2 per cell]
O  0.2290  0.0142  0.6368 [2 per cell]
O  0.3508  0.5582  0.3825 [2 per cell]
O  0.4717  0.1072  0.1978 [2 per cell]
O  0.4908  0.2614  0.9089 [2 per cell]